RbCoAgAs: optimized geometry, PBE.

Results
V ... 24.70 Å³ per atom
Energy ... -4.09 eV per atom
ΔH_f (0 K) ... -195 meV per atom
Total magnetic moment ... 0.00 μB per cell

a = 3.875 Å, b = 3.875 Å, c = 13.158 Å
α = 90.00°, β = 90.00°, γ = 90.00°
Fractional positions:
Ag: 0.750 0.250 0.500
Ag: 0.250 0.750 0.500
As: 0.750 0.750 0.903
As: 0.250 0.250 0.097
Co: 0.750 0.250 0.000
Co: 0.250 0.750 0.000
Rb: 0.750 0.750 0.261
Rb: 0.250 0.250 0.739